Record 1
Nb2InS (PBE-GGA, relaxed); M_tot = 0.0 μB/f.u.; raw formation energy = 58 kJ/mol of formula units
1.0
0.649 -0.383 4.589
-3.663 -0.317 2.848
-0.931 -4.015 2.153
Nb S In
2 1 1
Direct
0.250 0.250 0.250
0.750 0.750 0.750
0.000 0.000 0.000
0.500 0.500 0.500

***

Record 2
MgAu2I6 (PBE-GGA, relaxed); M_tot = 0.0 μB/f.u.; raw formation energy = -251 kJ/mol of formula units
1.0
-4.927 0.701 -5.150
-4.167 -10.355 -4.685
-10.902 3.760 3.679
Mg Au I
2 4 12
Direct
0.250 0.205 0.795
0.750 0.795 0.205
0.166 0.629 0.806
0.334 0.194 0.371
0.834 0.371 0.194
0.666 0.806 0.629
0.414 0.705 0.605
0.086 0.395 0.295
0.586 0.295 0.395
0.914 0.605 0.705
0.860 0.840 0.389
0.640 0.611 0.160
0.140 0.160 0.611
0.360 0.389 0.840
0.169 0.760 0.998
0.331 0.002 0.240
0.831 0.240 0.002
0.669 0.998 0.760